The following is a DFT calculation (GGA-PBE) of an optimized crystal structure of Rb2TePbO6.

abc: 5.983 5.983 5.983
angles: 60.00 60.00 60.00
Atoms (fractional coordinates):
Rb 0.250 0.250 0.250
Rb 0.750 0.750 0.750
Te 0.000 0.000 0.000
Pb 0.500 0.500 0.500
O 0.232 0.767 0.235
O 0.233 0.765 0.768
O 0.235 0.232 0.767
O 0.765 0.768 0.233
O 0.767 0.235 0.232
O 0.768 0.233 0.765

Properties
Total magnetization (μB/cell): 0.00
Total DFT energy (no corrections) (eV for the cell shown): -49.59
N(E_F) (states/eV/f.u.): 6.7
Raw formation energy (eV/atom): -1.105